Entry from the Alexandria database: crystalline FeReN2F at its relaxed geometry (PBE+U).

Cell: 3.844 3.844 3.592 Å, 90.00 90.00 90.00°
Site moments in Bohr magnetons follow the coordinates.
Fractional coordinates of all 5 atoms:
Fe 0.000 0.000 0.000  1.06
N 0.500 0.000 0.000  -0.22
F 0.000 0.000 0.500  0.06
Re 0.500 0.500 0.500  2.95
N 0.000 0.500 0.000  -0.22

- density (Mg/m³) = 9.04
- E above lowest polymorph (meV per atom) = 1091
- symmetry = P4/mmm